# V2AgCl

Crystalline V2AgCl at its relaxed geometry (PBE, Alexandria).

The space group is I-42d (No. 122) and the conventional cell measures 4.229, 4.229 and 16.522 Å, with angles of 90.00, 90.00 and 90.00 degrees. The asymmetric unit holds V at (0.101, 0.250, 0.125), Ag at (0.000, 0.000, 0.500) and Cl at (0.000, 0.000, 0.000).

The calculation puts the energy above the most stable polymorph in this dataset at 56 meV/atom. The uncorrected formation energy comes out at 0.7852 eV per atom. The value obtained for the uncorrected energy is -4.949 eV per atom.